Density functional theory data (PBE) for Tm8TcSn2 after structural relaxation.

abc: 5.4077 6.9090 8.9523
angles: 112.69 107.58 90.00
With the nearest neighbours (Å) after each atom.
Element x y z (fractional)
Tm  0.3737  0.6115  0.7474  1 Tc 2.68
Tm  0.6267  0.8653  0.2534  1 Tc 2.68
Tm  0.8111  0.8105  0.6223  8 Tm 3.32-3.40, 4 Sn 3.33-3.46
Tm  0.9999  0.2424  0.9998  2 Tc 3.18, 8 Tm 3.35-3.56, 2 Sn 3.42
Tm  0.1889  0.1895  0.3777  8 Tm 3.32-3.40, 4 Sn 3.33-3.46
Tm  0.3733  0.1347  0.7466  1 Tc 2.68
Tm  0.6263  0.3885  0.2526  1 Tc 2.68
Tm  0.0001  0.7576  0.0002  2 Tc 3.18, 8 Tm 3.35-3.56, 2 Sn 3.42
Tc  0.5000  0.0000  0.0000  4 Tm 2.68
Sn  0.8131  0.3130  0.6261  12 Tm 3.30-3.46
Sn  0.1870  0.6870  0.3739  12 Tm 3.30-3.46

Values from the calculation:
* DFT total energy: -5.23 eV/atom
* calculated density: 9.61 g cm⁻³
* crystal system: orthorhombic

Density functional theory data (PBE) for Tm5TcSn2 after structural relaxation.

abc: 5.4711 8.4505 12.0948
angles: 90.00 90.00 108.89
With the nearest neighbours (Å) after each atom.
Element x y z (fractional)
Tm  0.9293  0.8586  0.8940  1 Tc 2.60
Tm  0.9293  0.8586  0.6060  1 Tc 2.60
Tm  0.2958  0.5916  0.4368  1 Tc 2.81, 2 Sn 3.11
Tm  0.2958  0.5916  0.0632  1 Tc 2.81, 2 Sn 3.11
Tm  0.6984  0.3969  0.2500  2 Tc 2.74
Tm  0.3016  0.6031  0.7500  2 Tc 2.74
Tm  0.7042  0.4084  0.5632  1 Tc 2.81, 2 Sn 3.11
Tm  0.7042  0.4084  0.9368  1 Tc 2.81, 2 Sn 3.11
Tm  0.0707  0.1414  0.1060  1 Tc 2.60
Tm  0.0707  0.1414  0.3940  1 Tc 2.60
Tc  0.8090  0.6179  0.7500  6 Tm 2.60-2.81
Tc  0.1910  0.3821  0.2500  6 Tm 2.60-2.81
Sn  0.8736  0.7471  0.3720  1 Sn 2.95, 5 Tm 2.97-3.17
Sn  0.8736  0.7471  0.1280  1 Sn 2.95, 5 Tm 2.97-3.17
Sn  0.1264  0.2529  0.6280  1 Sn 2.95, 5 Tm 2.97-3.17
Sn  0.1264  0.2529  0.8720  1 Sn 2.95, 5 Tm 2.97-3.17

Values from the calculation:
* DFT total energy: -5.10 eV/atom
* calculated density: 7.41 g cm⁻³
* crystal system: orthorhombic

Density functional theory data (PBE) for TmTcSn2 after structural relaxation.

abc: 3.3799 3.3799 7.4086
angles: 90.00 90.00 90.00
With the nearest neighbours (Å) after each atom.
Element x y z (fractional)
Tm  0.5000  0.5000  0.5000  8 Sn 3.23, 4 Tm 3.38
Sn  0.0000  0.0000  0.7925  4 Tc 2.84, 1 Sn 3.07
Sn  0.0000  0.0000  0.2075  4 Tc 2.84, 1 Sn 3.07
Tc  0.5000  0.5000  0.0000  8 Sn 2.84

Values from the calculation:
* excess energy over the best structure of this formula in the dataset: 0.0 kJ per mole of atoms
* calculated density: 9.90 g cm⁻³
* crystal system: tetragonal

Density functional theory data (PBE) for Tm5Tc2Sn after structural relaxation.

abc: 7.4160 7.4160 9.0500
angles: 114.19 114.19 90.00
With the nearest neighbours (Å) after each atom.
Element x y z (fractional)
Tm  0.5398  0.6911  0.7309  3 Tc 2.95-2.97, 2 Sn 3.23
Tm  0.8089  0.9602  0.2691  3 Tc 2.95-2.97, 2 Sn 3.23
Tm  0.0000  0.0000  0.0000  4 Tc 2.97
Tm  0.5000  0.5000  0.0000  4 Tc 2.97
Tm  0.1911  0.0398  0.7309  3 Tc 2.95-2.97, 2 Sn 3.23
Tm  0.6911  0.1911  0.7309  3 Tc 2.95-2.97, 2 Sn 3.23
Tm  0.0398  0.5398  0.7309  3 Tc 2.95-2.97, 2 Sn 3.23
Tm  0.3089  0.8089  0.2691  3 Tc 2.95-2.97, 2 Sn 3.23
Tm  0.9602  0.4602  0.2691  3 Tc 2.95-2.97, 2 Sn 3.23
Tm  0.4602  0.3089  0.2691  3 Tc 2.95-2.97, 2 Sn 3.23
Tc  0.1177  0.3823  0.0000  1 Tc 2.47
Tc  0.6177  0.1177  0.0000  1 Tc 2.47
Tc  0.3823  0.8823  0.0000  1 Tc 2.47
Tc  0.8823  0.6177  0.0000  1 Tc 2.47
Sn  0.7500  0.7500  0.5000  8 Tm 3.23
Sn  0.2500  0.2500  0.5000  8 Tm 3.23

Values from the calculation:
* DFT total energy: -6.17 eV/atom
* calculated density: 9.49 g cm⁻³
* crystal system: tetragonal

Density functional theory data (PBE) for Tm3TcSn after structural relaxation.

abc: 3.4837 8.5090 8.9255
angles: 96.99 89.15 102.74
With the nearest neighbours (Å) after each atom.
Element x y z (fractional)
Tm  0.0731  0.1890  0.4113  1 Tc 2.93, 2 Sn 3.25-3.27
Tm  0.4502  0.8757  0.6477  2 Tc 2.77
Tm  0.5944  0.2785  0.7739  2 Tc 2.77
Tm  0.9707  0.9651  0.0103  1 Tc 2.93, 3 Sn 3.25-3.28
Tm  0.2734  0.5863  0.0087  2 Tc 2.82-2.85
Tm  0.7709  0.5678  0.4128  2 Tc 2.82-2.85
Tc  0.2054  0.4762  0.6380  2 Tc 2.58-2.72, 4 Tm 2.77-2.85
Tc  0.8390  0.6778  0.7835  2 Tc 2.58-2.72, 4 Tm 2.77-2.85
Sn  0.4124  0.8610  0.2932  8 Tm 3.16-3.32, 2 Sn 3.48
Sn  0.6304  0.2932  0.1285  8 Tm 3.16-3.32, 2 Sn 3.48

Values from the calculation:
* DFT total energy: -5.88 eV/atom
* calculated density: 9.38 g cm⁻³
* crystal system: triclinic

Density functional theory data (PBE) for TmTcSn after structural relaxation.

abc: 3.5595 4.6092 4.6092
angles: 120.00 90.00 90.00
With the nearest neighbours (Å) after each atom.
Element x y z (fractional)
Tm  0.6665  0.6667  0.3333  6 Sn 3.20, 6 Tc 3.20, 2 Tm 3.56
Sn  0.1669  0.0000  0.0000  3 Tc 2.66
Tc  0.1666  0.3333  0.6667  3 Sn 2.66

Values from the calculation:
* excess energy over the best structure of this formula in the dataset: 15.0 kJ per mole of atoms
* calculated density: 9.78 g cm⁻³
* crystal system: hexagonal

Density functional theory data (PBE) for U2Tc4Sn3 after structural relaxation.

abc: 4.4467 4.8734 9.1153
angles: 92.23 90.00 117.14
With the nearest neighbours (Å) after each atom.
Element x y z (fractional)
U  0.3261  0.6523  0.2166  4 Tc 2.58-2.73
U  0.6739  0.3477  0.7834  4 Tc 2.58-2.73
Tc  0.6820  0.3640  0.1044  3 U 2.73-2.92, 4 Sn 2.86-2.96, 1 Tc 2.90
Tc  0.0554  0.1108  0.6876  2 U 2.58, 1 Sn 2.79
Tc  0.9446  0.8892  0.3124  2 U 2.58, 1 Sn 2.79
Tc  0.3180  0.6360  0.8956  3 U 2.73-2.92, 4 Sn 2.86-2.96, 1 Tc 2.90
Sn  0.3544  0.7088  0.5854  4 Tc 2.79-2.95, 1 Sn 3.02
Sn  0.0000  0.0000  0.0000  8 Tc 2.86-2.96
Sn  0.6456  0.2912  0.4146  4 Tc 2.79-2.95, 1 Sn 3.02

Values from the calculation:
* DFT total energy: -8.42 eV/atom
* calculated density: 11.58 g cm⁻³
* crystal system: monoclinic

Density functional theory data (PBE) for UTc2Sn after structural relaxation.

abc: 3.3468 3.3468 8.1988
angles: 78.22 78.22 60.00
With the nearest neighbours (Å) after each atom.
Element x y z (fractional)
U  0.0000  0.0000  0.0000  6 Tc 2.59
Sn  0.5000  0.5000  0.5000  6 Tc 2.98
Tc  0.7386  0.7386  0.7842  3 U 2.59
Tc  0.2614  0.2614  0.2158  3 U 2.59

Values from the calculation:
* excess energy over the best structure of this formula in the dataset: 30.3 kJ per mole of atoms
* calculated density: 11.87 g cm⁻³
* crystal system: trigonal

Density functional theory data (PBE) for UTc2Sn after structural relaxation.

abc: 3.5366 4.5110 4.5110
angles: 90.00 90.00 90.00
With the nearest neighbours (Å) after each atom.
Element x y z (fractional)
U  0.5000  0.5000  0.5000  8 Tc 2.87, 4 Sn 3.19
Sn  0.5000  0.0000  0.0000  8 Tc 2.87, 4 U 3.19
Tc  0.0000  0.0000  0.5000  4 Sn 2.87, 4 U 2.87, 4 Tc 3.19
Tc  0.0000  0.5000  0.0000  4 Sn 2.87, 4 U 2.87, 4 Tc 3.19

Values from the calculation:
* excess energy over the best structure of this formula in the dataset: 0.0 kJ per mole of atoms
* calculated density: 12.75 g cm⁻³
* crystal system: tetragonal

Density functional theory data (PBE) for U2Tc3Sn after structural relaxation.

abc: 5.8905 8.1939 7.1698
angles: 124.85 114.25 90.00
With the nearest neighbours (Å) after each atom.
Element x y z (fractional)
U  0.1522  0.9165  0.8329  6 Tc 2.57-2.76
U  0.1807  0.4165  0.8329  6 Tc 2.57-2.76
U  0.8193  0.5835  0.1671  6 Tc 2.57-2.76
U  0.8478  0.0835  0.1671  6 Tc 2.57-2.76
Tc  0.0000  0.7575  0.0000  4 U 2.57-2.76
Tc  0.0000  0.2425  0.0000  4 U 2.57-2.76
Tc  0.5000  0.7425  0.0000  4 U 2.57-2.76
Tc  0.0000  0.0000  0.5000  4 U 2.66, 4 Tc 2.94
Tc  0.0000  0.5000  0.5000  4 U 2.66, 4 Tc 2.94
Tc  0.5000  0.2575  0.0000  4 U 2.57-2.76
Sn  0.5210  0.2500  0.5000  6 U 3.36-3.43, 12 Tc 3.49-3.69
Sn  0.4790  0.7500  0.5000  6 U 3.36-3.43, 12 Tc 3.49-3.69

Values from the calculation:
* DFT total energy: -9.47 eV/atom
* calculated density: 12.01 g cm⁻³
* crystal system: orthorhombic

Density functional theory data (PBE) for U2Tc4Sn5 after structural relaxation.

abc: 4.2068 6.4650 12.5996
angles: 133.79 99.61 90.00
With the nearest neighbours (Å) after each atom.
Element x y z (fractional)
U  0.1094  0.5451  0.2188  3 Tc 2.65-2.68
U  0.8906  0.4549  0.7812  3 Tc 2.65-2.68
Tc  0.6642  0.4940  0.3283  2 U 2.65, 3 Tc 2.80-2.92, 4 Sn 2.82-2.92
Tc  0.2604  0.9219  0.5207  3 Tc 2.54-2.80, 1 U 2.68
Tc  0.3358  0.5060  0.6717  2 U 2.65, 3 Tc 2.80-2.92, 4 Sn 2.82-2.92
Tc  0.7396  0.0781  0.4793  3 Tc 2.54-2.80, 1 U 2.68
Sn  0.5769  0.8126  0.1538  4 Sn 2.89-3.04, 1 Tc 3.09, 2 U 3.17
Sn  0.4231  0.1874  0.8462  4 Sn 2.89-3.04, 1 Tc 3.09, 2 U 3.17
Sn  0.1866  0.2577  0.3731  5 Tc 2.82-3.11, 2 Sn 3.02
Sn  0.5000  0.0000  0.0000  2 Sn 2.89, 2 Tc 2.92
Sn  0.8134  0.7423  0.6269  5 Tc 2.82-3.11, 2 Sn 3.02

Values from the calculation:
* DFT total energy: -7.49 eV/atom
* calculated density: 10.09 g cm⁻³
* crystal system: monoclinic

Density functional theory data (PBE) for U3Tc4Sn2 after structural relaxation.

abc: 4.7429 4.8279 9.1722
angles: 88.29 90.00 119.42
With the nearest neighbours (Å) after each atom.
Element x y z (fractional)
U  0.3676  0.7352  0.5806  1 Tc 2.37, 1 U 2.63
U  0.0000  0.0000  0.0000  2 Tc 2.37
U  0.6324  0.2648  0.4194  1 Tc 2.37, 1 U 2.63
Tc  0.7312  0.4625  0.0852  1 U 2.37
Tc  0.0910  0.1820  0.6369  1 U 2.37
Tc  0.9090  0.8180  0.3631  1 U 2.37
Tc  0.2688  0.5375  0.9148  1 U 2.37
Sn  0.3237  0.6473  0.2214  5 Tc 2.80-2.87
Sn  0.6763  0.3527  0.7786  5 Tc 2.80-2.87

Values from the calculation:
* DFT total energy: -9.37 eV/atom
* calculated density: 12.20 g cm⁻³
* crystal system: monoclinic